Entry 1:
Below is HfCrPt2 after structural relaxation, with properties calculated at the GGA-PBE level.

a b c (Å): 4.007 4.007 9.407
angles (deg): 77.70 77.70 90.00
Atoms (fractional coordinates):
Cr: 0.500 0.500 0.000
Cr: 0.250 0.750 0.500
Hf: 0.000 0.000 0.000
Hf: 0.750 0.250 0.500
Pt: 0.612 0.125 0.250
Pt: 0.138 0.625 0.250
Pt: 0.375 0.388 0.750
Pt: 0.875 0.862 0.750

Symmetry   No. 122

---

Entry 2:
Below is Li4In3Pb2 after structural relaxation, with properties calculated at the GGA-PBE level.

a b c (Å): 4.893 4.899 9.567
angles (deg): 89.88 90.00 60.04
Atoms (fractional coordinates):
Li: 0.666 0.669 0.884
Li: 0.001 0.998 0.327
Li: 0.999 0.002 0.673
Li: 0.334 0.331 0.116
In: 0.334 0.333 0.435
In: 0.000 0.000 0.000
In: 0.666 0.667 0.565
Pb: 0.332 0.335 0.796
Pb: 0.668 0.665 0.204

Symmetry   No. 12

---

For the records above, the corresponding energy of formation from the pure elements values read -0.108, -0.222 eV/atom.
For the records above, the corresponding size of the total moment values read 5.8, 0.0 μB per cell.